(1)
Below is BeOsRu after structural relaxation, with properties calculated at the PBE level.

Output
magnetization = 0.00 μB/cell
energy of formation from the pure elements = -0.05 eV per atom

abc: 3.935 4.726 5.041
angles: 98.31 112.92 114.51
Space group P1 (No. 1)
One atom of each set of equivalent atoms:
Be1 0.000 0.000 0.000
Be2 0.076 0.383 0.768
Os1 0.595 0.925 0.265
Os2 0.797 0.481 0.110
Ru1 0.293 0.913 0.672
Ru2 0.480 0.454 0.503



(2)
Below is SrSc2Tl3 after structural relaxation, with properties calculated at the PBE level.

Output
magnetization = 0.00 μB/cell
energy of formation from the pure elements = -0.30 eV per atom

abc: 3.722 3.722 11.508
angles: 90.00 90.00 90.00
Space group P4/mmm (No. 123)
One atom of each set of equivalent atoms:
Sr1 0.000 0.000 0.000
Sc1 0.000 0.000 0.350
Tl1 0.500 0.500 0.198
Tl2 0.500 0.500 0.500